VASP calculation (PBE-GGA) on crystalline PmCoNi at its relaxed geometry.

The structure belongs to space group F-43m (No. 216); the cell edges are 6.121, 6.121 and 6.121 Å and the angles 90.00°, 90.00° and 90.00°. The distinct sites, in fractional coordinates, are Pm at (0.000, 0.000, 0.000), Co at (0.000, 0.000, 0.500) and Ni at (0.250, 0.250, 0.750).

As for the energy relative to the elements: 24.4 kJ per mole of atoms. The total energy comes out at -5.553 eV per atom.

VASP calculation (PBE-GGA) on crystalline PrCoNi at its relaxed geometry.

The structure belongs to space group F-43m (No. 216); the cell edges are 6.117, 6.117 and 6.117 Å and the angles 90.00°, 90.00° and 90.00°. The distinct sites, in fractional coordinates, are Pr at (0.000, 0.000, 0.000), Co at (0.000, 0.000, 0.500) and Ni at (0.250, 0.250, 0.750).

As for the energy relative to the elements: 31.9 kJ per mole of atoms. The total energy comes out at -5.486 eV per atom.

VASP calculation (PBE-GGA) on crystalline CoNiPt2 at its relaxed geometry.

The structure belongs to space group F-43m (No. 216); the cell edges are 6.046, 6.046 and 6.046 Å and the angles 90.00°, 90.00° and 90.00°. The distinct sites, in fractional coordinates, are Co at (0.000, 0.000, 0.000), Ni at (0.250, 0.250, 0.750), Pt at (0.000, 0.000, 0.500) and Pt at (0.250, 0.250, 0.250).

As for the energy relative to the elements: 12.3 kJ per mole of atoms. The total energy comes out at -6.069 eV per atom.

VASP calculation (PBE-GGA) on crystalline CoSiNiPt at its relaxed geometry.

The structure belongs to space group F-43m (No. 216); the cell edges are 5.805, 5.805 and 5.805 Å and the angles 90.00°, 90.00° and 90.00°. The distinct sites, in fractional coordinates, are Co at (0.000, 0.000, 0.000), Si at (0.250, 0.250, 0.750), Ni at (0.250, 0.250, 0.250) and Pt at (0.000, 0.000, 0.500).

The total energy comes out at -6.321 eV per atom. The calculation puts the relative energy among the computed polymorphs at 0.0 kJ/mol of atoms.

VASP calculation (PBE-GGA) on crystalline CoSiNiPt at its relaxed geometry.

The structure belongs to space group F-43m (No. 216); the cell edges are 5.834, 5.834 and 5.834 Å and the angles 90.00°, 90.00° and 90.00°. The distinct sites, in fractional coordinates, are Co at (0.000, 0.000, 0.000), Si at (0.000, 0.000, 0.500), Ni at (0.250, 0.250, 0.750) and Pt at (0.250, 0.250, 0.250).

The total energy comes out at -6.251 eV per atom. The calculation puts the relative energy among the computed polymorphs at 6.8 kJ/mol of atoms.

VASP calculation (PBE-GGA) on crystalline RbCoNi at its relaxed geometry.

The structure belongs to space group F-43m (No. 216); the cell edges are 6.549, 6.549 and 6.549 Å and the angles 90.00°, 90.00° and 90.00°. The distinct sites, in fractional coordinates, are Rb at (0.000, 0.000, 0.000), Co at (0.000, 0.000, 0.500) and Ni at (0.250, 0.250, 0.750).

The total energy comes out at -3.006 eV per atom. The calculation puts the relative energy among the computed polymorphs at 0.0 kJ/mol of atoms.

VASP calculation (PBE-GGA) on crystalline RbCo4Ni at its relaxed geometry.

The structure belongs to space group Cmmm (No. 65); the cell edges are 6.775, 7.219 and 4.469 Å and the angles 90.00°, 90.00° and 90.00°. The distinct sites, in fractional coordinates, are Rb at (0.000, 0.000, 0.000), Co at (0.000, 0.357, 0.000), Co at (0.180, 0.000, 0.500) and Ni at (0.000, 0.500, 0.500).

The total energy comes out at -3.969 eV per atom.

VASP calculation (PBE-GGA) on crystalline RbCoNi at its relaxed geometry.

The structure belongs to space group F-43m (No. 216); the cell edges are 6.650, 6.650 and 6.650 Å and the angles 90.00°, 90.00° and 90.00°. The distinct sites, in fractional coordinates, are Rb at (0.000, 0.000, 0.000), Co at (0.250, 0.250, 0.750) and Ni at (0.250, 0.250, 0.250).

The total energy comes out at -2.346 eV per atom. The calculation puts the relative energy among the computed polymorphs at 63.7 kJ/mol of atoms.